Material: ScTaN2
Method: DFT, PBE
State: optimized geometry

Properties
- DFT total energy: -10.266 eV/atom
- ΔE to the lowest computed polymorph: 0.38 eV per formula unit
- Symmetry: R3m

a = 5.7276 Å, b = 5.7276 Å, c = 5.7276 Å
α = 31.04°, β = 31.04°, γ = 31.04°
Fractional positions:
Sc1 0.0000 0.0000 0.0000
Ta1 0.8251 0.8251 0.8251
N1 0.4108 0.4108 0.4108
N2 0.5756 0.5756 0.5756